## Cs2Cd3Hg6 (PBE)

Data for a geometry-optimized Cs2Cd3Hg6 structure.

a b c (Å): 5.5845 9.0462 9.0462
angles (deg): 120.00 90.00 90.00
Atoms (fractional coordinates):
Cd 0.5000 0.6874 0.0000
Cd 0.5000 0.3126 0.3126
Cd 0.5000 0.0000 0.6874
Hg 0.0000 0.1945 0.1945
Hg 0.5000 0.3484 0.0000
Hg 0.0000 0.8055 0.0000
Hg 0.5000 0.0000 0.3484
Hg 0.5000 0.6516 0.6516
Hg 0.0000 0.0000 0.8055
Cs 0.0000 0.3333 0.6667
Cs 0.0000 0.6667 0.3333

Computed properties:
The calculation puts the energy relative to the elements at -0.13 eV per atom.